BaGe2Au2 (GGA-PBE, optimized geometry); calculated volume = 195.4 Å³ per cell; calculated formation energy = 0.108 eV per atom; D(E_F) = 2.0 states/eV per cell
1.0
-0.624 -2.862 -3.847
-0.354 -3.841 2.915
-7.775 4.489 0.961
Ba Ge Au
1 2 2
direct
0.000 0.000 0.000
0.195 0.195 0.390
0.805 0.805 0.610
0.250 0.750 0.500
0.750 0.250 0.500